(1)
SmTcPb | PBE-GGA | relaxed

Unit cell a=6.920 b=6.920 c=6.920 alpha=90.00 beta=90.00 gamma=90.00
Fractional coordinates of all 12 atoms:
1 Sm 0.000 0.000 0.000
2 Sm 0.000 0.500 0.500
3 Sm 0.500 0.000 0.500
4 Sm 0.500 0.500 0.000
5 Tc 0.250 0.250 0.250
6 Tc 0.250 0.750 0.750
7 Tc 0.750 0.250 0.750
8 Tc 0.750 0.750 0.250
9 Pb 0.250 0.250 0.750
10 Pb 0.250 0.750 0.250
11 Pb 0.750 0.250 0.250
12 Pb 0.750 0.750 0.750

symmetry: F-43m
excess energy over the best structure of this formula in the dataset: 439 meV/atom
total moment: 0.4164 μB per atom

(2)
HfCu2TeSe2 | PBE-GGA | relaxed

Unit cell a=10.087 b=10.087 c=7.199 alpha=98.92 beta=98.92 gamma=22.70
Fractional coordinates of all 12 atoms:
1 Hf 0.140 0.140 0.048
2 Hf 0.860 0.860 0.952
3 Cu 0.210 0.210 0.426
4 Cu 0.454 0.454 0.842
5 Cu 0.546 0.546 0.158
6 Cu 0.790 0.790 0.574
7 Te 0.251 0.251 0.787
8 Te 0.749 0.749 0.213
9 Se 0.085 0.085 0.345
10 Se 0.419 0.419 0.159
11 Se 0.581 0.581 0.841
12 Se 0.915 0.915 0.655

symmetry: C2/m
excess energy over the best structure of this formula in the dataset: 0 meV/atom
total moment: 0.0006 μB per atom

(3)
BaTe2Pt2F2 | PBE-GGA | relaxed

Unit cell a=3.801 b=3.801 c=10.131 alpha=90.00 beta=90.00 gamma=90.00
Fractional coordinates of all 7 atoms:
1 Ba 0.000 0.000 0.000
2 Te 0.000 0.500 0.268
3 Te 0.500 0.000 0.732
4 Pt 0.000 0.500 0.667
5 Pt 0.500 0.000 0.333
6 F 0.000 0.000 0.500
7 F 0.500 0.500 0.500

symmetry: P-4m2
total moment: 0.0002 μB per atom
calculated total energy: -28.1 eV for the cell shown

(4)
TaN2 | PBE-GGA | relaxed

Unit cell a=4.860 b=4.860 c=3.118 alpha=90.00 beta=90.00 gamma=90.00
Fractional coordinates of all 6 atoms:
1 Ta 0.000 0.000 0.000
2 Ta 0.500 0.500 0.500
3 N 0.200 0.200 0.500
4 N 0.300 0.700 0.000
5 N 0.700 0.300 0.000
6 N 0.800 0.800 0.500

symmetry: P4_2/mnm
total moment: 0.0028 μB per atom
calculated total energy: -59.1 eV for the cell shown

(5)
LaAgBAu | PBE-GGA | relaxed

Unit cell a=6.882 b=6.882 c=6.882 alpha=90.00 beta=90.00 gamma=90.00
Fractional coordinates of all 16 atoms:
1 La 0.000 0.000 0.000
2 La 0.000 0.500 0.500
3 La 0.500 0.000 0.500
4 La 0.500 0.500 0.000
5 Ag 0.250 0.250 0.250
6 Ag 0.250 0.750 0.750
7 Ag 0.750 0.250 0.750
8 Ag 0.750 0.750 0.250
9 B 0.000 0.000 0.500
10 B 0.000 0.500 0.000
11 B 0.500 0.000 0.000
12 B 0.500 0.500 0.500
13 Au 0.250 0.250 0.750
14 Au 0.250 0.750 0.250
15 Au 0.750 0.250 0.250
16 Au 0.750 0.750 0.750

symmetry: F-43m
excess energy over the best structure of this formula in the dataset: 236 meV/atom
total moment: 0.0002 μB per atom

(6)
Y5Si10Ir4 | PBE-GGA | relaxed

Unit cell a=12.661 b=12.661 c=4.270 alpha=90.00 beta=90.00 gamma=90.00
Fractional coordinates of all 38 atoms:
1 Y 0.000 0.000 0.000
2 Y 0.115 0.385 0.500
3 Y 0.176 0.676 0.500
4 Y 0.324 0.176 0.500
5 Y 0.385 0.885 0.500
6 Y 0.500 0.500 0.000
7 Y 0.615 0.115 0.500
8 Y 0.676 0.824 0.500
9 Y 0.824 0.324 0.500
10 Y 0.885 0.615 0.500
11 Si 0.001 0.843 0.500
12 Si 0.066 0.566 0.000
13 Si 0.157 0.001 0.500
14 Si 0.164 0.201 0.000
15 Si 0.201 0.836 0.000
16 Si 0.299 0.336 0.000
17 Si 0.336 0.701 0.000
18 Si 0.343 0.501 0.500
19 Si 0.434 0.066 0.000
20 Si 0.499 0.343 0.500
21 Si 0.501 0.657 0.500
22 Si 0.566 0.934 0.000
23 Si 0.657 0.499 0.500
24 Si 0.664 0.299 0.000
25 Si 0.701 0.664 0.000
26 Si 0.799 0.164 0.000
27 Si 0.836 0.799 0.000
28 Si 0.843 0.999 0.500
29 Si 0.934 0.434 0.000
30 Si 0.999 0.157 0.500
31 Ir 0.020 0.755 0.000
32 Ir 0.245 0.020 0.000
33 Ir 0.255 0.520 0.000
34 Ir 0.480 0.255 0.000
35 Ir 0.520 0.745 0.000
36 Ir 0.745 0.480 0.000
37 Ir 0.755 0.980 0.000
38 Ir 0.980 0.245 0.000

symmetry: P4/mbm
total moment: 0.0005 μB per atom
calculated total energy: -277.9 eV for the cell shown

(7)
TbDyCu2B2N2 | PBE-GGA | relaxed

Unit cell a=3.512 b=3.512 c=7.702 alpha=90.00 beta=90.00 gamma=90.00
Fractional coordinates of all 8 atoms:
1 Tb 0.000 0.000 0.000
2 Dy 0.500 0.500 0.330
3 Cu 0.000 0.500 0.665
4 Cu 0.500 0.000 0.665
5 B 0.000 0.000 0.492
6 B 0.500 0.500 0.840
7 N 0.000 0.000 0.304
8 N 0.500 0.500 0.028

symmetry: P4mm
total moment: 0.0006 μB per atom
calculated total energy: -53.8 eV for the cell shown

(8)
NaAcPu | PBE-GGA | relaxed

Unit cell a=7.716 b=7.716 c=7.716 alpha=90.00 beta=90.00 gamma=90.00
Fractional coordinates of all 12 atoms:
1 Na 0.000 0.000 0.000
2 Na 0.000 0.500 0.500
3 Na 0.500 0.000 0.500
4 Na 0.500 0.500 0.000
5 Ac 0.250 0.250 0.750
6 Ac 0.250 0.750 0.250
7 Ac 0.750 0.250 0.250
8 Ac 0.750 0.750 0.750
9 Pu 0.250 0.250 0.250
10 Pu 0.250 0.750 0.750
11 Pu 0.750 0.250 0.750
12 Pu 0.750 0.750 0.250

symmetry: F-43m
excess energy over the best structure of this formula in the dataset: 0 meV/atom
total moment: 2.5386 μB per atom

(9)
AcPt4Pb | PBE-GGA | relaxed

Unit cell a=5.575 b=5.575 c=5.575 alpha=60.00 beta=60.00 gamma=60.00
Fractional coordinates of all 6 atoms:
1 Ac 0.000 0.000 0.000
2 Pt 0.126 0.625 0.625
3 Pt 0.625 0.126 0.625
4 Pt 0.625 0.625 0.126
5 Pt 0.625 0.625 0.625
6 Pb 0.250 0.250 0.250

symmetry: F-43m
total moment: 0.0012 μB per atom
calculated total energy: -36.2 eV for the cell shown

(10)
KRbPtSe2S | PBE-GGA | relaxed

Unit cell a=6.788 b=7.252 c=9.488 alpha=69.64 beta=69.74 gamma=64.03
Fractional coordinates of all 12 atoms:
1 K 0.104 0.185 0.125
2 K 0.896 0.815 0.875
3 Rb 0.327 0.551 0.329
4 Rb 0.673 0.449 0.671
5 Pt 0.400 0.040 0.648
6 Pt 0.600 0.960 0.352
7 Se 0.179 0.356 0.747
8 Se 0.371 0.824 0.909
9 Se 0.629 0.176 0.091
10 Se 0.821 0.644 0.253
11 S 0.247 0.969 0.500
12 S 0.753 0.031 0.500

symmetry: P-1
total moment: 0.0002 μB per atom
calculated total energy: -45.4 eV for the cell shown

(11)
Y2HgPb | PBE-GGA | relaxed

Unit cell a=7.702 b=7.702 c=7.702 alpha=90.00 beta=90.00 gamma=90.00
Fractional coordinates of all 16 atoms:
1 Y 0.000 0.000 0.000
2 Y 0.000 0.500 0.500
3 Y 0.250 0.250 0.250
4 Y 0.250 0.750 0.750
5 Y 0.500 0.000 0.500
6 Y 0.500 0.500 0.000
7 Y 0.750 0.250 0.750
8 Y 0.750 0.750 0.250
9 Hg 0.250 0.250 0.750
10 Hg 0.250 0.750 0.250
11 Hg 0.750 0.250 0.250
12 Hg 0.750 0.750 0.750
13 Pb 0.000 0.000 0.500
14 Pb 0.000 0.500 0.000
15 Pb 0.500 0.000 0.000
16 Pb 0.500 0.500 0.500

symmetry: F-43m
total moment: 0.3072 μB per atom
calculated total energy: -67.1 eV for the cell shown

(12)
ZnS | PBE-GGA | relaxed

Unit cell a=3.835 b=3.835 c=50.192 alpha=90.00 beta=90.00 gamma=120.00
Fractional coordinates of all 32 atoms:
1 Zn 0.000 0.000 0.000
2 Zn 0.000 0.000 0.125
3 Zn 0.000 0.000 0.312
4 Zn 0.000 0.000 0.500
5 Zn 0.000 0.000 0.625
6 Zn 0.000 0.000 0.812
7 Zn 0.333 0.667 0.062
8 Zn 0.333 0.667 0.250
9 Zn 0.333 0.667 0.437
10 Zn 0.333 0.667 0.687
11 Zn 0.333 0.667 0.875
12 Zn 0.667 0.333 0.187
13 Zn 0.667 0.333 0.375
14 Zn 0.667 0.333 0.562
15 Zn 0.667 0.333 0.750
16 Zn 0.667 0.333 0.937
17 S 0.000 0.000 0.047
18 S 0.000 0.000 0.172
19 S 0.000 0.000 0.359
20 S 0.000 0.000 0.547
21 S 0.000 0.000 0.672
22 S 0.000 0.000 0.859
23 S 0.333 0.667 0.109
24 S 0.333 0.667 0.297
25 S 0.333 0.667 0.484
26 S 0.333 0.667 0.734
27 S 0.333 0.667 0.922
28 S 0.667 0.333 0.234
29 S 0.667 0.333 0.422
30 S 0.667 0.333 0.609
31 S 0.667 0.333 0.797
32 S 0.667 0.333 0.984

symmetry: P6_3mc
calculated total energy: -112.3 eV for the cell shown